Compound: Cs6HAu
Source: the Alexandria database
Functional: PBE
Structure: optimized geometry

Structure (POSCAR):
```
Cs6HAu
1.0
7.868 0.004 4.094
2.845 7.309 4.118
-0.065 -0.072 9.718
Cs Au H
6 1 1
Cartesian
8.849 4.525 8.597 Cs
5.091 5.528 12.075 Cs
5.556 1.714 5.855 Cs
6.228 0.660 10.911 Cs
4.419 6.581 7.019 Cs
1.798 2.716 9.333 Cs
5.324 3.621 8.965 Au
0.000 0.000 0.000 H
```

Its raw total energy is -0.0573 Ha/atom. Its space-group type is P-1 (2). Its volume is 70.3 Å³/atom. The calculation puts the spin magnetization at 0.00 μB/atom. Its energy above the most stable polymorph in this dataset is 8.7 meV per atom. Its crystal system is triclinic.

Compound: CsH2Au2
Source: the Alexandria database
Functional: PBE
Structure: optimized geometry

Structure (POSCAR):
```
CsH2Au2
1.0
8.539 0.000 0.000
0.000 8.539 0.000
0.000 0.000 3.611
Au H Cs
4 4 2
Cartesian
3.246 7.516 0.000 Au
7.516 5.293 0.000 Au
1.023 3.246 0.000 Au
5.293 1.023 0.000 Au
7.439 5.369 1.805 H
1.100 3.170 1.805 H
5.369 1.100 1.805 H
3.170 7.439 1.805 H
4.270 4.270 0.000 Cs
0.000 0.000 0.000 Cs
```

Its raw total energy is -0.1015 Ha/atom. Its space-group type is P4/mbm (127). Its volume is 26.3 Å³/atom. The calculation puts the spin magnetization at 0.00 μB/atom. Its energy above the most stable polymorph in this dataset is 163.5 meV per atom. Its crystal system is tetragonal.

Compound: Cs6HAu5
Source: the Alexandria database
Functional: PBE
Structure: optimized geometry

Structure (POSCAR):
```
Cs6HAu5
1.0
8.755 0.201 1.323
2.170 7.464 4.352
0.157 0.101 8.865
Cs H Au
6 1 5
Cartesian
4.195 6.989 10.408 Cs
8.322 5.880 4.346 Cs
3.456 4.611 5.737 Cs
2.603 1.784 1.329 Cs
7.626 3.154 8.803 Cs
6.887 0.777 4.132 Cs
0.000 0.000 0.000 H
6.228 6.315 7.315 Au
5.462 3.832 2.838 Au
4.854 1.451 7.225 Au
0.778 2.529 4.393 Au
1.550 5.036 8.824 Au
```

Its raw total energy is -0.0865 Ha/atom. Its space-group type is C2/m (12). Its volume is 47.5 Å³/atom. The calculation puts the spin magnetization at 0.01 μB/atom. Its crystal system is monoclinic.

Compound: Cs3H8Au2
Source: the Alexandria database
Functional: PBE
Structure: optimized geometry

Structure (POSCAR):
```
Cs3H8Au2
1.0
-4.028 4.772 -1.392
-4.210 2.013 4.378
2.159 7.126 3.476
H Cs Au
8 3 2
Cartesian
-2.792 8.969 2.544 H
-1.024 8.954 4.250 H
-2.877 7.680 5.240 H
-0.909 6.739 3.194 H
-5.056 4.956 2.211 H
-3.288 4.941 3.918 H
-5.171 7.172 3.267 H
-3.203 6.231 1.221 H
-1.134 3.861 1.811 Cs
-4.946 10.050 4.650 Cs
0.000 0.000 0.000 Cs
-2.139 7.849 3.686 Au
-3.941 6.062 2.775 Au
```

Its raw total energy is -0.1006 Ha/atom. Its space-group type is R-3m (166). Its volume is 20.0 Å³/atom. The calculation puts the spin magnetization at 0.04 μB/atom. Its crystal system is trigonal.

Question: Among the records above, which one has the highest raw total energy?
Answer: Cs6HAu